Entry from Alexandria: an optimized crystal structure of Cd3In3Bi (PBE-GGA).

Cell lengths 8.199, 8.199, 8.199 Å; angles 59.08, 59.08, 59.08 degrees
Sites, in units of the cell vectors:
1 Cd 0.087 0.826 0.273
2 Cd 0.174 0.727 0.913
3 Cd 0.273 0.087 0.826
4 Cd 0.727 0.913 0.174
5 Cd 0.826 0.273 0.087
6 Cd 0.913 0.174 0.727
7 In 0.056 0.567 0.729
8 In 0.271 0.944 0.433
9 In 0.433 0.271 0.944
10 In 0.567 0.729 0.056
11 In 0.729 0.056 0.567
12 In 0.944 0.433 0.271
13 Bi 0.357 0.357 0.357
14 Bi 0.643 0.643 0.643

## Properties
The polymorph energy (0 for the lowest one) comes out at 0 meV/atom. The calculation puts the formation energy at 0.049 eV/atom.